#a
Below is a relaxed structure of MgTaGe2Br, with properties calculated at the GGA-PBE level.

* N(E_F): 5.10 states/eV per cell

Structure (CIF):
```
data_MgTaGe2Br
_space_group_name_H-M_alt 'P 4/m m m'
_space_group_IT_number 123
_space_group_name_Hall '-P 4 2'
_cell_length_a 4.985
_cell_length_b 4.985
_cell_length_c 5.877
_cell_angle_alpha 90.00
_cell_angle_beta 90.00
_cell_angle_gamma 90.00
loop_
_atom_site_label
_atom_site_fract_x
_atom_site_fract_y
_atom_site_fract_z
Mg1 0.000 0.000 0.000
Ta1 0.000 0.000 0.500
Ge1 0.000 0.500 0.500
Br1 0.500 0.500 0.000
```

=====

#b
Below is a relaxed structure of MgTaGe2Br, with properties calculated at the GGA-PBE level.

* N(E_F): 5.17 states/eV per cell

Structure (CIF):
```
data_MgTaGe2Br
_space_group_name_H-M_alt 'P 4/m m m'
_space_group_IT_number 123
_space_group_name_Hall '-P 4 2'
_cell_length_a 5.124
_cell_length_b 5.124
_cell_length_c 5.083
_cell_angle_alpha 90.00
_cell_angle_beta 90.00
_cell_angle_gamma 90.00
loop_
_atom_site_label
_atom_site_fract_x
_atom_site_fract_y
_atom_site_fract_z
Mg1 0.000 0.000 0.000
Ta1 0.500 0.500 0.500
Ge1 0.000 0.500 0.500
Br1 0.500 0.500 0.000
```

=====

#c
Below is a relaxed structure of MgTaGe2Br, with properties calculated at the GGA-PBE level.

* N(E_F): 4.98 states/eV per cell

Structure (CIF):
```
data_MgTaGe2Br
_space_group_name_H-M_alt 'P 4/m m m'
_space_group_IT_number 123
_space_group_name_Hall '-P 4 2'
_cell_length_a 4.857
_cell_length_b 4.857
_cell_length_c 5.369
_cell_angle_alpha 90.00
_cell_angle_beta 90.00
_cell_angle_gamma 90.00
loop_
_atom_site_label
_atom_site_fract_x
_atom_site_fract_y
_atom_site_fract_z
Mg1 0.000 0.000 0.000
Ta1 0.000 0.000 0.500
Ge1 0.000 0.500 0.000
Br1 0.500 0.500 0.500
```

=====

Which structure is most stable, and how do the rest compare? From most to least stable: #b, #a, #c.

=====

#a
Below is a relaxed structure of Mn2Ge2Br, with properties calculated at the GGA-PBE level.

* N(E_F): 5.45 states/eV per cell

Structure (CIF):
```
data_Mn2Ge2Br
_space_group_name_H-M_alt 'I 4/m m m'
_space_group_IT_number 139
_space_group_name_Hall '-I 4 2'
_cell_length_a 3.773
_cell_length_b 3.773
_cell_length_c 12.977
_cell_angle_alpha 90.00
_cell_angle_beta 90.00
_cell_angle_gamma 90.00
loop_
_atom_site_label
_atom_site_fract_x
_atom_site_fract_y
_atom_site_fract_z
Mn1 0.000 0.000 0.109
Ge1 0.000 0.500 0.250
Br1 0.000 0.000 0.500
```

=====

#b
Below is a relaxed structure of Mn2Ge2Br, with properties calculated at the GGA-PBE level.

* N(E_F): 5.91 states/eV per cell

Structure (CIF):
```
data_Mn2Ge2Br
_space_group_name_H-M_alt 'P 4/m b m'
_space_group_IT_number 127
_space_group_name_Hall '-P 4 2ab'
_cell_length_a 7.307
_cell_length_b 7.307
_cell_length_c 3.216
_cell_angle_alpha 90.00
_cell_angle_beta 90.00
_cell_angle_gamma 90.00
loop_
_atom_site_label
_atom_site_fract_x
_atom_site_fract_y
_atom_site_fract_z
Mn1 0.155 0.345 0.000
Ge1 0.133 0.633 0.500
Br1 0.000 0.000 0.000
```

=====

Which structure is most stable, and how do the rest compare? From most to least stable: #b, #a.